[1]
Computed, not measured: an optimized crystal structure of CaTaTl2 at the PBE-GGA level of DFT.

Calculated values
The value obtained for the spin magnetization is 0.000 μB per formula unit. The calculation puts the formation energy from the elements at 425.3 meV/atom. Its uncorrected energy is -16.9 eV per formula unit. The space group is No. 123.

a = 4.8973 Å, b = 4.8973 Å, c = 3.9539 Å
α = 90.00°, β = 90.00°, γ = 90.00°
Closest atoms and distances in Å follow each position.
Sites, in units of the cell vectors:
Ca 0.0000 0.0000 0.0000  8 Tl 3.15, 4 Ta 3.46
Ta 0.5000 0.5000 0.0000  8 Tl 3.15, 4 Ca 3.46
Tl 0.0000 0.5000 0.5000  4 Ta 3.15, 4 Ca 3.15, 4 Tl 3.46
Tl 0.5000 0.0000 0.5000  4 Ta 3.15, 4 Ca 3.15, 4 Tl 3.46

---

[2]
Computed, not measured: an optimized crystal structure of BiAs2AuBr at the PBE-GGA level of DFT.

Calculated values
The value obtained for the spin magnetization is 0.000 μB per formula unit. Its uncorrected energy is -15.4 eV per formula unit. The space group is No. 123. The energy above the lowest structure with this stoichiometry comes out at 0 meV/atom.

a = 5.1355 Å, b = 5.1355 Å, c = 5.1115 Å
α = 90.00°, β = 90.00°, γ = 90.00°
Closest atoms and distances in Å follow each position.
Sites, in units of the cell vectors:
Bi 0.0000 0.0000 0.0000  8 As 3.62, 4 Br 3.63
As 0.0000 0.5000 0.5000  2 Au 2.57
As 0.5000 0.0000 0.5000  2 Au 2.57
Au 0.5000 0.5000 0.5000  2 Br 2.56, 4 As 2.57
Br 0.5000 0.5000 0.0000  2 Au 2.56

---

[3]
Computed, not measured: an optimized crystal structure of RhC3 at the PBE-GGA level of DFT.

Calculated values
The value obtained for the spin magnetization is 0.000 μB per formula unit. The calculation puts the formation energy from the elements at 917.3 meV/atom. Its uncorrected energy is -31.4 eV per formula unit. The space group is No. 12. The energy above the lowest structure with this stoichiometry comes out at 350 meV/atom.

a = 3.0588 Å, b = 3.0588 Å, c = 5.4487 Å
α = 107.32°, β = 107.32°, γ = 58.55°
Closest atoms and distances in Å follow each position.
Sites, in units of the cell vectors:
Rh 0.0000 0.0000 0.0000  6 C 2.15-2.17
C 0.4158 0.4158 0.2458  1 C 1.30
C 0.5000 0.5000 0.5000  2 C 1.30
C 0.5842 0.5842 0.7542  1 C 1.30

---

[4]
Computed, not measured: an optimized crystal structure of B2IrRh at the PBE-GGA level of DFT.

Calculated values
The value obtained for the spin magnetization is 0.000 μB per formula unit. The calculation puts the formation energy from the elements at 92.5 meV/atom. Its uncorrected energy is -29.2 eV per formula unit. The space group is No. 225. The energy above the lowest structure with this stoichiometry comes out at 174 meV/atom.

a = 3.8569 Å, b = 3.8569 Å, c = 3.8569 Å
α = 60.00°, β = 60.00°, γ = 60.00°
Closest atoms and distances in Å follow each position.
Sites, in units of the cell vectors:
B 0.2500 0.2500 0.2500  4 Rh 2.36, 4 Ir 2.36
B 0.7500 0.7500 0.7500  4 Rh 2.36, 4 Ir 2.36
Ir 0.0000 0.0000 0.0000  8 B 2.36
Rh 0.5000 0.5000 0.5000  8 B 2.36

---

[5]
Computed, not measured: an optimized crystal structure of NaHgTe3 at the PBE-GGA level of DFT.

Calculated values
The value obtained for the spin magnetization is 0.001 μB per formula unit. Its uncorrected energy is -8.5 eV per formula unit. The space group is No. 221. The energy above the lowest structure with this stoichiometry comes out at 609 meV/atom.

a = 5.5839 Å, b = 5.5839 Å, c = 5.5839 Å
α = 90.00°, β = 90.00°, γ = 90.00°
Closest atoms and distances in Å follow each position.
Sites, in units of the cell vectors:
Na 0.0000 0.0000 0.0000  6 Te 2.79
Hg 0.5000 0.5000 0.5000  12 Te 3.95
Te 0.0000 0.0000 0.5000  2 Na 2.79
Te 0.0000 0.5000 0.0000  2 Na 2.79
Te 0.5000 0.0000 0.0000  2 Na 2.79

---

[6]
Computed, not measured: an optimized crystal structure of HfGaRuRh at the PBE-GGA level of DFT.

Calculated values
The value obtained for the spin magnetization is 0.000 μB per formula unit. The calculation puts the formation energy from the elements at -829.0 meV/atom. Its uncorrected energy is -32.9 eV per formula unit. The space group is No. 216.

a = 4.4399 Å, b = 4.4399 Å, c = 4.4399 Å
α = 60.00°, β = 60.00°, γ = 60.00°
Closest atoms and distances in Å follow each position.
Sites, in units of the cell vectors:
Hf 0.0000 0.0000 0.0000  4 Ru 2.72, 4 Rh 2.72
Ga 0.5000 0.5000 0.5000  4 Rh 2.72, 4 Ru 2.72
Ru 0.7500 0.7500 0.7500  4 Ga 2.72, 4 Hf 2.72
Rh 0.2500 0.2500 0.2500  4 Ga 2.72, 4 Hf 2.72